[1]
{"formula": "TaZnCl", "functional": "PBE-GGA", "state": "relaxed", "lattice": [[3.0795, 0.0000, 0.0000], [-1.5398, 2.6670, 0.0000], [0.0000, 0.0000, 7.5324]], "species": ["Ta", "Zn", "Cl"], "fractional_positions": [[0.0000, 0.0000, 0.0000], [0.6667, 0.3333, 0.2844], [0.3333, 0.6667, 0.7670]], "raw_formation_energy_ev_per_atom": -0.22, "de_polymorph_kj_per_mol_atoms": 0.0, "energy_ev_per_cell": -15.64, "volume_a3_per_atom": 20.62, "m_tot_mub_per_fu": 0.00}



[2]
{"formula": "TaZn2Cl", "functional": "PBE-GGA", "state": "relaxed", "lattice": [[2.8747, 0.0000, 0.0000], [0.0000, 4.3977, 0.0000], [0.0000, 0.0000, 5.2623]], "species": ["Ta", "Zn", "Zn", "Cl"], "fractional_positions": [[0.0000, 0.0000, 0.0000], [0.0000, 0.5000, 0.5000], [0.5000, 0.0000, 0.5000], [0.5000, 0.5000, 0.0000]], "raw_formation_energy_ev_per_atom": 0.27, "de_polymorph_kj_per_mol_atoms": 40.0, "energy_ev_per_cell": -15.15, "volume_a3_per_atom": 16.63, "m_tot_mub_per_fu": 0.00}



[3]
{"formula": "TaZnCl2", "functional": "PBE-GGA", "state": "relaxed", "lattice": [[5.8470, 0.0000, 0.0000], [0.0000, 8.1909, 0.0000], [0.0000, 0.0000, 3.0286]], "species": ["Ta", "Ta", "Zn", "Zn", "Cl", "Cl", "Cl", "Cl"], "fractional_positions": [[0.0000, 0.0000, 0.0000], [0.5000, 0.5000, 0.0000], [0.0000, 0.5000, 0.0000], [0.5000, 0.0000, 0.0000], [0.2500, 0.2500, 0.5000], [0.2500, 0.7500, 0.5000], [0.7500, 0.2500, 0.5000], [0.7500, 0.7500, 0.5000]], "raw_formation_energy_ev_per_atom": 0.40, "de_polymorph_kj_per_mol_atoms": 80.8, "energy_ev_per_cell": -30.46, "volume_a3_per_atom": 18.13, "m_tot_mub_per_fu": 0.00}



[4]
{"formula": "TaZn2Cl", "functional": "PBE-GGA", "state": "relaxed", "lattice": [[3.1104, 0.0000, 0.0000], [-1.5552, 2.6937, 0.0000], [0.0000, 0.0000, 24.9570]], "species": ["Ta", "Ta", "Ta", "Zn", "Zn", "Zn", "Zn", "Zn", "Zn", "Cl", "Cl", "Cl"], "fractional_positions": [[0.0000, 0.0000, 0.0000], [0.3333, 0.6667, 0.6667], [0.6667, 0.3333, 0.3333], [0.0000, 0.0000, 0.2470], [0.0000, 0.0000, 0.7530], [0.3333, 0.6667, 0.4197], [0.3333, 0.6667, 0.9137], [0.6667, 0.3333, 0.0863], [0.6667, 0.3333, 0.5803], [0.0000, 0.0000, 0.5000], [0.3333, 0.6667, 0.1667], [0.6667, 0.3333, 0.8333]], "raw_formation_energy_ev_per_atom": -0.02, "de_polymorph_kj_per_mol_atoms": 11.5, "energy_ev_per_cell": -49.00, "volume_a3_per_atom": 17.42, "m_tot_mub_per_fu": 0.00}